# 1
{"formula": "KLaCuTe3", "functional": "PBE", "state": "optimized geometry", "cell": [[-2.289, 3.375, 9.109], [2.811, -2.902, 1.781], [7.931, 5.455, -3.627]], "species": ["Te", "Te", "Te", "Te", "Te", "Te", "K", "K", "Cu", "Cu", "La", "La"], "fractional_positions": [[0.085, 0.250, 0.850], [0.465, 0.750, 0.182], [0.915, 0.750, 0.150], [0.190, 0.750, 0.520], [0.810, 0.250, 0.480], [0.535, 0.250, 0.818], [0.214, 0.250, 0.242], [0.786, 0.750, 0.758], [0.914, 0.750, 0.405], [0.086, 0.250, 0.595], [0.316, 0.750, 0.854], [0.684, 0.250, 0.146]], "volume_a3_per_atom": 35.79, "final_energy_ev_per_atom": -4.14, "spacegroup": "P2_1/m"}

# 2
{"formula": "ZrScNO", "functional": "PBE", "state": "optimized geometry", "cell": [[4.516, 0.000, 0.000], [0.000, 6.257, 0.000], [0.000, 0.000, 7.665]], "species": ["N", "N", "N", "N", "O", "O", "O", "O", "Zr", "Zr", "Zr", "Zr", "Sc", "Sc", "Sc", "Sc"], "fractional_positions": [[0.551, 0.071, 0.120], [0.551, 0.571, 0.880], [0.051, 0.929, 0.880], [0.051, 0.429, 0.120], [0.551, 0.099, 0.649], [0.051, 0.401, 0.649], [0.051, 0.901, 0.351], [0.551, 0.599, 0.351], [0.551, 0.946, 0.383], [0.551, 0.446, 0.617], [0.051, 0.054, 0.617], [0.051, 0.554, 0.383], [0.050, 0.586, 0.876], [0.550, 0.414, 0.124], [0.050, 0.086, 0.124], [0.550, 0.914, 0.876]], "volume_a3_per_atom": 13.54, "final_energy_ev_per_atom": -9.13, "spacegroup": "Pbcm"}

# 3
{"formula": "ErNbOs", "functional": "PBE", "state": "optimized geometry", "cell": [[3.130, -2.050, 2.476], [-1.216, -2.880, 3.218], [0.750, -4.393, -0.520]], "species": ["Er", "Nb", "Os"], "fractional_positions": [[0.250, 0.250, 0.250], [0.000, 0.000, 0.000], [0.750, 0.750, 0.750]], "volume_a3_per_atom": 21.28, "final_energy_ev_per_atom": -8.13, "spacegroup": "F-43m"}

# 4
{"formula": "NdTlNO", "functional": "PBE", "state": "optimized geometry", "cell": [[-2.304, -4.699, 0.324], [1.470, -0.375, 5.019], [-4.119, 2.114, 1.364]], "species": ["O", "O", "Nd", "Nd", "N", "N", "Tl", "Tl"], "fractional_positions": [[0.500, 0.500, 0.000], [0.000, 0.000, 0.000], [0.500, 0.500, 0.500], [0.000, 0.000, 0.500], [0.000, 0.500, 0.499], [0.500, 0.000, 0.501], [0.000, 0.500, 0.000], [0.500, 0.000, 0.000]], "volume_a3_per_atom": 16.59, "final_energy_ev_per_atom": -6.16, "spacegroup": "P4/nmm"}

# 5
{"formula": "CdHg", "functional": "PBE", "state": "optimized geometry", "cell": [[3.637, -2.838, -0.873], [0.260, -4.194, 2.094], [-0.630, -3.920, -2.508]], "species": ["Cd", "Hg"], "fractional_positions": [[0.000, 0.000, 0.000], [0.250, 0.250, 0.250]], "volume_a3_per_atom": 36.60, "final_energy_ev_per_atom": -0.39, "spacegroup": "F-43m"}

# 6
{"formula": "Dy4Tm2LuNi2Te2", "functional": "PBE", "state": "optimized geometry", "cell": [[-1.909, 7.729, 4.786], [1.909, -7.729, 4.786], [1.909, 7.729, -4.786]], "species": ["Lu", "Dy", "Dy", "Dy", "Dy", "Te", "Te", "Ni", "Ni", "Tm", "Tm"], "fractional_positions": [[0.001, 0.001, 0.000], [0.064, 0.379, 0.685], [0.694, 0.379, 0.315], [0.713, 0.580, 0.133], [0.447, 0.580, 0.867], [0.335, 0.335, 0.000], [0.736, 0.236, 0.500], [0.838, 0.073, 0.765], [0.307, 0.073, 0.235], [0.371, 0.726, 0.645], [0.081, 0.726, 0.355]], "volume_a3_per_atom": 25.68, "final_energy_ev_per_atom": -5.14, "spacegroup": "Imm2"}

# 7
{"formula": "Sr3TmN3", "functional": "PBE", "state": "optimized geometry", "cell": [[8.034, 0.000, 0.000], [-4.017, 6.958, 0.000], [0.000, 0.000, 5.377]], "species": ["Sr", "Sr", "Sr", "Sr", "Sr", "Sr", "N", "N", "N", "N", "N", "N", "Tm", "Tm"], "fractional_positions": [[0.667, 0.734, 0.750], [0.266, 0.932, 0.750], [0.333, 0.266, 0.250], [0.068, 0.333, 0.750], [0.734, 0.068, 0.250], [0.932, 0.667, 0.250], [0.624, 0.705, 0.250], [0.082, 0.376, 0.250], [0.295, 0.918, 0.250], [0.918, 0.624, 0.750], [0.705, 0.082, 0.750], [0.376, 0.295, 0.750], [0.667, 0.333, 0.750], [0.333, 0.667, 0.250]], "volume_a3_per_atom": 21.47, "final_energy_ev_per_atom": -5.54, "spacegroup": "P6_3/m"}

# 8
{"formula": "ZnTe2Au2F2", "functional": "PBE", "state": "optimized geometry", "cell": [[-1.041, 2.223, 2.993], [0.367, -3.031, 2.379], [8.507, 2.117, 1.386]], "species": ["F", "F", "Au", "Au", "Te", "Te", "Zn"], "fractional_positions": [[0.000, 0.000, 0.000], [0.500, 0.500, 0.000], [0.000, 0.500, 0.822], [0.500, 0.000, 0.178], [0.500, 0.000, 0.716], [0.000, 0.500, 0.284], [0.000, 0.000, 0.500]], "volume_a3_per_atom": 19.00, "final_energy_ev_per_atom": -2.91, "spacegroup": "P-4m2"}

# 9
{"formula": "Sm2Ge5Os3", "functional": "PBE", "state": "optimized geometry", "cell": [[-4.990, 6.235, 2.951], [4.990, -6.235, 2.951], [4.990, 6.235, -2.951]], "species": ["Sm", "Sm", "Sm", "Sm", "Os", "Os", "Os", "Os", "Os", "Os", "Ge", "Ge", "Ge", "Ge", "Ge", "Ge", "Ge", "Ge", "Ge", "Ge"], "fractional_positions": [[0.861, 0.769, 0.630], [0.361, 0.731, 0.092], [0.139, 0.231, 0.370], [0.639, 0.269, 0.908], [0.750, 0.250, 0.500], [0.647, 0.596, 0.244], [0.250, 0.750, 0.500], [0.147, 0.904, 0.051], [0.853, 0.096, 0.949], [0.353, 0.404, 0.756], [0.912, 0.328, 0.239], [0.088, 0.672, 0.761], [0.750, 0.750, 0.000], [0.412, 0.172, 0.584], [0.540, 0.250, 0.290], [0.250, 0.250, 0.000], [0.960, 0.250, 0.710], [0.588, 0.828, 0.416], [0.460, 0.750, 0.710], [0.040, 0.750, 0.290]], "volume_a3_per_atom": 18.37, "final_energy_ev_per_atom": -7.08, "spacegroup": "Ibam"}

# 10
{"formula": "KTbPdS4", "functional": "PBE", "state": "optimized geometry", "cell": [[-6.541, -1.246, 1.679], [-0.775, -3.229, -5.417], [4.827, -6.381, 3.112]], "species": ["Pd", "Pd", "Tb", "Tb", "S", "S", "S", "S", "S", "S", "S", "S", "K", "K"], "fractional_positions": [[0.767, 0.654, 0.864], [0.233, 0.154, 0.136], [0.706, 0.134, 0.048], [0.294, 0.634, 0.952], [0.954, 0.583, 0.682], [0.488, 0.888, 0.785], [0.996, 0.454, 0.087], [0.004, 0.954, 0.913], [0.512, 0.388, 0.215], [0.046, 0.083, 0.318], [0.492, 0.895, 0.215], [0.508, 0.395, 0.785], [0.749, 0.126, 0.556], [0.251, 0.626, 0.444]], "volume_a3_per_atom": 25.42, "final_energy_ev_per_atom": -4.90, "spacegroup": "P2_1"}

# 11
{"formula": "SrLuNb", "functional": "PBE", "state": "optimized geometry", "cell": [[0.000, 3.764, 3.764], [3.764, 0.000, 3.764], [3.764, 3.764, 0.000]], "species": ["Lu", "Nb", "Sr"], "fractional_positions": [[0.500, 0.500, 0.500], [0.250, 0.250, 0.250], [0.000, 0.000, 0.000]], "volume_a3_per_atom": 35.54, "final_energy_ev_per_atom": -4.30, "spacegroup": "F-43m"}

# 12
{"formula": "LuFeAsIr", "functional": "PBE", "state": "optimized geometry", "cell": [[0.000, 3.179, 3.179], [3.179, 0.000, 3.179], [3.179, 3.179, 0.000]], "species": ["As", "Lu", "Fe", "Ir"], "fractional_positions": [[0.000, 0.000, 0.000], [0.500, 0.500, 0.500], [0.750, 0.750, 0.750], [0.250, 0.250, 0.250]], "volume_a3_per_atom": 16.07, "final_energy_ev_per_atom": -6.79, "spacegroup": "F-43m"}